NaAs2PdO8, relaxed, DFT PBE-GGA; raw formation energy = -934 kJ/mol of formula units; total magnetization = 1.038 μB/f.u.; calculated volume = 14.16 A^3/atom
1.0
-2.1606 -5.1691 -0.3539
2.7193 1.5936 4.6453
-5.3489 2.0700 2.4211
O As Pd Na
8 2 1 1
Direct
0.6682 0.8341 0.2011
0.1659 0.8341 0.2011
0.8341 0.6682 0.7989
0.1659 0.3318 0.2011
0.6667 0.3333 0.1787
0.8341 0.1659 0.7989
0.3318 0.1659 0.7989
0.3333 0.6667 0.8213
0.6667 0.3333 0.9093
0.3333 0.6667 0.0907
0.0000 0.0000 0.0000
0.0000 0.0000 0.5000